This record from Alexandria via LeMat-Bulk describes a relaxed NaInTe2I crystal. The functional is PBE-GGA.

**Polymorph energy (0 for the lowest one)**: 304 meV per atom
**Formation energy from raw total energies**: 0.13 eV/atom
**DOS(E_F)**: 7.318 states/eV/cell
**Crystal system**: tetragonal
**E_tot**: -11.3 eV for the cell shown

Unit cell a=5.597 b=5.597 c=6.169 alpha=90.00 beta=90.00 gamma=90.00
Space group P4/mmm (No. 123)
Asymmetric unit:
Na (0.000, 0.000, 0.000) [1 per cell]
In (0.500, 0.500, 0.500) [1 per cell]
Te (0.000, 0.500, 0.000) [2 per cell]
I (0.000, 0.000, 0.500) [1 per cell]



This record from Alexandria via LeMat-Bulk describes a relaxed NaInTe2I crystal. The functional is PBE-GGA.

**Polymorph energy (0 for the lowest one)**: 0 meV per atom
**Formation energy from raw total energies**: -0.18 eV/atom
**DOS(E_F)**: 7.085 states/eV/cell
**Crystal system**: tetragonal
**E_tot**: -12.8 eV for the cell shown

Unit cell a=5.714 b=5.714 c=6.237 alpha=90.00 beta=90.00 gamma=90.00
Space group P4/mmm (No. 123)
Asymmetric unit:
Na (0.000, 0.000, 0.000) [1 per cell]
In (0.500, 0.500, 0.500) [1 per cell]
Te (0.000, 0.500, 0.500) [2 per cell]
I (0.500, 0.500, 0.000) [1 per cell]